No. 1
The following is a GGA-PBE calculation of an optimized crystal structure of Nd4Dy2Sc, from Alexandria via LeMat-Bulk.

- calculated density (g/cm3) = 6.9
- energy above the lowest structure with this stoichiometry (meV per atom) = 0.0
- space group = C2/c, No. 15
- D(E_F) (states/eV per cell) = 20.056
- formation energy (eV/atom) = 0.0319

Cell lengths 12.897, 12.897, 6.207 Å; angles 94.54, 94.54, 152.21 degrees
Fractional coordinates of all 14 atoms:
Nd 0.036 0.964 0.750
Nd 0.248 0.752 0.250
Nd 0.322 0.678 0.750
Nd 0.462 0.538 0.750
Nd 0.538 0.462 0.250
Nd 0.678 0.322 0.250
Nd 0.752 0.248 0.750
Nd 0.964 0.036 0.250
Dy 0.177 0.823 0.750
Dy 0.393 0.607 0.250
Dy 0.607 0.393 0.750
Dy 0.823 0.177 0.250
Sc 0.107 0.893 0.250
Sc 0.893 0.107 0.750

No. 2
The following is a GGA-PBE calculation of an optimized crystal structure of Nd2Dy9Sc, from Alexandria via LeMat-Bulk.

- calculated density (g/cm3) = 7.9
- space group = P4/mmm, No. 123
- D(E_F) (states/eV per cell) = 18.446
- formation energy (eV/atom) = 0.0309

Cell lengths 5.018, 5.018, 15.005 Å; angles 90.00, 90.00, 90.00 degrees
Fractional coordinates of all 12 atoms:
Nd 0.000 0.000 0.169
Nd 0.000 0.000 0.831
Dy 0.000 0.500 0.000
Dy 0.000 0.500 0.340
Dy 0.000 0.500 0.660
Dy 0.500 0.000 0.000
Dy 0.500 0.000 0.340
Dy 0.500 0.000 0.660
Dy 0.500 0.500 0.170
Dy 0.500 0.500 0.500
Dy 0.500 0.500 0.830
Sc 0.000 0.000 0.500

No. 3
The following is a GGA-PBE calculation of an optimized crystal structure of Nd2Dy7Sc2, from Alexandria via LeMat-Bulk.

- calculated density (g/cm3) = 7.2
- energy above the lowest structure with this stoichiometry (meV per atom) = 0.0
- space group = Imm2, No. 44
- D(E_F) (states/eV per cell) = 16.517
- formation energy (eV/atom) = 0.1684

Cell lengths 10.598, 10.598, 10.598 Å; angles 160.41, 66.03, 117.65 degrees
Fractional coordinates of all 11 atoms:
Nd 0.000 0.000 0.000
Nd 0.686 0.186 0.500
Dy 0.010 0.851 0.159
Dy 0.269 0.633 0.636
Dy 0.345 0.345 0.000
Dy 0.396 0.092 0.303
Dy 0.692 0.851 0.841
Dy 0.789 0.092 0.697
Dy 0.997 0.633 0.364
Sc 0.164 0.352 0.812
Sc 0.540 0.352 0.188